# PBE ErOs2, relaxed
data_ErOs2
_chemical_formula_sum 'Er4 Os8'
_cell_length_a 5.2965
_cell_length_b 5.2965
_cell_length_c 8.8187
_cell_angle_alpha 90.00
_cell_angle_beta 90.00
_cell_angle_gamma 120.00
_symmetry_space_group_name_H-M 'P 63/m m c'
_symmetry_Int_Tables_number 194
_symmetry_space_group_name_Hall '-P 6c 2c'
loop_
_atom_site_label
_atom_site_type_symbol
_atom_site_fract_x
_atom_site_fract_y
_atom_site_fract_z
Er1 Er 0.3333 0.6667 0.0649
Os1 Os 0.0000 0.0000 0.0000
Os2 Os 0.1719 0.3437 0.7500
# - electronic total energy (eV/atom) = -9.355

# PBE TlSi2Se, relaxed
data_TlSi2Se
_chemical_formula_sum 'Tl1 Si2 Se1'
_cell_length_a 3.7181
_cell_length_b 3.7181
_cell_length_c 6.6158
_cell_angle_alpha 90.00
_cell_angle_beta 90.00
_cell_angle_gamma 90.00
_symmetry_space_group_name_H-M 'P 4 m m'
_symmetry_Int_Tables_number 99
loop_
_symmetry_equiv_pos_as_xyz
'x,y,z'
'-y,x,z'
'-x,-y,z'
'y,-x,z'
'-x,y,z'
'y,x,z'
'x,-y,z'
'-y,-x,z'
loop_
_atom_site_label
_atom_site_type_symbol
_atom_site_fract_x
_atom_site_fract_y
_atom_site_fract_z
Tl1 Tl 0.0000 0.0000 0.0000
Si1 Si 0.0000 0.0000 0.5882
Si2 Si 0.5000 0.5000 0.5608
Se1 Se 0.5000 0.5000 0.2005
# - relative energy among the computed polymorphs (kcal/mol of atoms) = 1.08
# - E_form (uncorrected) (meV per atom) = 191

# PBE Ce4Dy3Os4, relaxed
data_Ce4Dy3Os4
_chemical_formula_sum 'Ce8 Dy6 Os8'
_cell_length_a 3.7044
_cell_length_b 9.3124
_cell_length_c 15.0348
_cell_angle_alpha 90.00
_cell_angle_beta 90.00
_cell_angle_gamma 90.00
_symmetry_space_group_name_H-M 'I m m m'
_symmetry_Int_Tables_number 71
_symmetry_space_group_name_Hall '-I 2 2'
loop_
_atom_site_label
_atom_site_type_symbol
_atom_site_fract_x
_atom_site_fract_y
_atom_site_fract_z
Ce1 Ce 0.0000 0.1975 0.1641
Dy1 Dy 0.0000 0.0000 0.3911
Dy2 Dy 0.0000 0.5000 0.5000
Os1 Os 0.0000 0.2949 0.0000
Os2 Os 0.0000 0.5000 0.2850
# - electronic total energy (eV/atom) = -7.636

# PBE LiIrN2O, relaxed
data_LiIrN2O
_chemical_formula_sum 'Li1 Ir1 N2 O1'
_cell_length_a 3.7494
_cell_length_b 3.7494
_cell_length_c 4.3206
_cell_angle_alpha 90.00
_cell_angle_beta 90.00
_cell_angle_gamma 90.00
_symmetry_space_group_name_H-M 'P 4/m m m'
_symmetry_Int_Tables_number 123
_symmetry_space_group_name_Hall '-P 4 2'
loop_
_atom_site_label
_atom_site_type_symbol
_atom_site_fract_x
_atom_site_fract_y
_atom_site_fract_z
Li1 Li 0.0000 0.0000 0.0000
Ir1 Ir 0.5000 0.5000 0.5000
N1 N 0.0000 0.5000 0.5000
O1 O 0.5000 0.5000 0.0000
# - E_form (uncorrected) (meV per atom) = 354

# PBE Sc2AuO2, relaxed
data_Sc2AuO2
_chemical_formula_sum 'Sc4 Au2 O4'
_cell_length_a 3.6752
_cell_length_b 3.6752
_cell_length_c 11.1594
_cell_angle_alpha 90.00
_cell_angle_beta 90.00
_cell_angle_gamma 90.00
_symmetry_space_group_name_H-M 'I 4/m m m'
_symmetry_Int_Tables_number 139
_symmetry_space_group_name_Hall '-I 4 2'
loop_
_atom_site_label
_atom_site_type_symbol
_atom_site_fract_x
_atom_site_fract_y
_atom_site_fract_z
Sc1 Sc 0.0000 0.0000 0.1608
Au1 Au 0.0000 0.0000 0.5000
O1 O 0.0000 0.5000 0.2500
# - relative energy among the computed polymorphs (kcal/mol of atoms) = 0.00
# - E_form (uncorrected) (meV per atom) = -2516

# PBE ZnInW4, relaxed
data_ZnInW4
_chemical_formula_sum 'Zn4 In4 W16'
_cell_length_a 7.5797
_cell_length_b 7.5797
_cell_length_c 7.5797
_cell_angle_alpha 90.00
_cell_angle_beta 90.00
_cell_angle_gamma 90.00
_symmetry_space_group_name_H-M 'F -4 3 m'
_symmetry_Int_Tables_number 216
_symmetry_space_group_name_Hall 'F -4 2 3'
loop_
_atom_site_label
_atom_site_type_symbol
_atom_site_fract_x
_atom_site_fract_y
_atom_site_fract_z
Zn1 Zn 0.0000 0.0000 0.0000
In1 In 0.2500 0.2500 0.7500
W1 W 0.1257 0.1257 0.3743
# - electronic total energy (eV/atom) = -8.614

# PBE KAlAs2Se, relaxed
data_KAlAs2Se
_chemical_formula_sum 'K1 Al1 As2 Se1'
_cell_length_a 4.9433
_cell_length_b 4.9433
_cell_length_c 5.2752
_cell_angle_alpha 90.00
_cell_angle_beta 90.00
_cell_angle_gamma 90.00
_symmetry_space_group_name_H-M 'P 4/m m m'
_symmetry_Int_Tables_number 123
_symmetry_space_group_name_Hall '-P 4 2'
loop_
_atom_site_label
_atom_site_type_symbol
_atom_site_fract_x
_atom_site_fract_y
_atom_site_fract_z
K1 K 0.0000 0.0000 0.0000
Al1 Al 0.5000 0.5000 0.5000
As1 As 0.0000 0.5000 0.5000
Se1 Se 0.5000 0.5000 0.0000
# - relative energy among the computed polymorphs (kcal/mol of atoms) = 0.00
# - E_form (uncorrected) (meV per atom) = -56